No. 1
This record from Alexandria describes a relaxed structure of Ba2YBe. The functional is GGA-PBE.

a b c (Å): 5.7341 5.7341 8.1815
angles (deg): 90.00 90.00 90.00
Space group I-4m2 (No. 119)
One atom of each set of equivalent atoms:
Ba: 0.0000 0.0000 0.0000 [2 per cell]
Ba: 0.0000 0.5000 0.2500 [2 per cell]
Y: 0.0000 0.0000 0.5000 [2 per cell]
Be: 0.0000 0.5000 0.7500 [2 per cell]

Calculated values
- Calculated volume: 135 Å³/f.u.



No. 2
This record from Alexandria describes a relaxed structure of BaYBe2. The functional is GGA-PBE.

a b c (Å): 3.7177 3.7040 7.2955
angles (deg): 90.00 90.13 90.00
Space group P2/m (No. 10)
One atom of each set of equivalent atoms:
Ba: 0.0000 0.0000 0.0000 [1 per cell]
Y: 0.0000 0.0000 0.5000 [1 per cell]
Be: 0.4995 0.5000 0.3359 [2 per cell]

Calculated values
- Calculated volume: 100 Å³/f.u.
- Energy above the most stable polymorph in this dataset: 0.29 eV/f.u.



No. 3
This record from Alexandria describes a relaxed structure of BaY3Be. The functional is GGA-PBE.

a b c (Å): 5.4932 5.4932 5.4932
angles (deg): 90.00 90.00 90.00
Space group Pm-3m (No. 221)
One atom of each set of equivalent atoms:
Ba: 0.0000 0.0000 0.0000 [1 per cell]
Y: 0.0000 0.5000 0.5000 [3 per cell]
Be: 0.5000 0.5000 0.5000 [1 per cell]

Calculated values
- Calculated volume: 166 Å³/f.u.
- Energy above the most stable polymorph in this dataset: 0.00 eV/f.u.



No. 4
This record from Alexandria describes a relaxed structure of BaYBe2. The functional is GGA-PBE.

a b c (Å): 3.6636 4.5528 12.3684
angles (deg): 90.00 90.00 90.00
Space group Imm2 (No. 44)
One atom of each set of equivalent atoms:
Ba: 0.0000 0.0000 0.0000 [2 per cell]
Y: 0.0000 0.5000 0.2278 [2 per cell]
Be: 0.0000 0.0000 0.3580 [2 per cell]
Be: 0.0000 0.5000 0.7697 [2 per cell]

Calculated values
- Calculated volume: 103 Å³/f.u.
- Energy above the most stable polymorph in this dataset: 0.51 eV/f.u.



No. 5
This record from Alexandria describes a relaxed structure of BaYBe. The functional is GGA-PBE.

a b c (Å): 3.7092 3.7092 13.5118
angles (deg): 90.00 90.00 90.00
Space group I4mm (No. 107)
One atom of each set of equivalent atoms:
Ba: 0.0000 0.0000 0.0000 [2 per cell]
Y: 0.0000 0.0000 0.7426 [2 per cell]
Be: 0.0000 0.0000 0.3336 [2 per cell]

Calculated values
- Calculated volume: 93 Å³/f.u.
- Energy above the most stable polymorph in this dataset: 0.00 eV/f.u.



No. 6
This record from Alexandria describes a relaxed structure of BaYBe3. The functional is GGA-PBE.

a b c (Å): 4.9853 4.9853 4.9853
angles (deg): 90.00 90.00 90.00
Space group Pm-3m (No. 221)
One atom of each set of equivalent atoms:
Ba: 0.0000 0.0000 0.0000 [1 per cell]
Y: 0.5000 0.5000 0.5000 [1 per cell]
Be: 0.0000 0.0000 0.5000 [3 per cell]

Calculated values
- Calculated volume: 124 Å³/f.u.
- Energy above the most stable polymorph in this dataset: 2.46 eV/f.u.



No. 7
This record from Alexandria describes a relaxed structure of BaY3Be. The functional is GGA-PBE.

a b c (Å): 5.6646 5.6646 5.6646
angles (deg): 90.00 90.00 90.00
Space group Pm-3m (No. 221)
One atom of each set of equivalent atoms:
Ba: 0.0000 0.0000 0.0000 [1 per cell]
Y: 0.0000 0.0000 0.5000 [3 per cell]
Be: 0.5000 0.5000 0.5000 [1 per cell]

Calculated values
- Calculated volume: 182 Å³/f.u.
- Energy above the most stable polymorph in this dataset: 6.65 eV/f.u.



No. 8
This record from Alexandria describes a relaxed structure of BaYBe. The functional is GGA-PBE.

a b c (Å): 4.6970 4.6970 5.2634
angles (deg): 90.00 90.00 120.00
Space group P-6m2 (No. 187)
One atom of each set of equivalent atoms:
Ba: 0.0000 0.0000 0.0000 [1 per cell]
Y: 0.3333 0.6667 0.5000 [1 per cell]
Be: 0.6667 0.3333 0.5000 [1 per cell]

Calculated values
- Calculated volume: 101 Å³/f.u.
- Energy above the most stable polymorph in this dataset: 0.58 eV/f.u.



| no. | DFT formation energy (eV/atom) | ρ (Mg/m³) | total DFT energy (no corrections) (eV per atom) |
| --- | --- | --- | --- |
| 1 | 0.639 | 4.6 | -2.870 |
| 2 | 0.316 | 4.0 | -3.644 |
| 3 | 0.238 | 4.1 | -4.771 |
| 4 | 0.372 | 3.9 | -3.588 |
| 5 | 0.297 | 4.2 | -3.741 |
| 6 | 1.627 | 3.4 | -2.286 |
| 7 | 1.568 | 3.8 | -3.440 |
| 8 | 0.490 | 3.9 | -3.548 |